Here is a relaxed structure of BaDyV2O8 from Alexandria. Energies are from PBE with a Hubbard U.

Structure (POSCAR):
```
BaDyV2O8
1.0
5.784 0.000 0.000
-2.892 5.009 0.000
0.000 0.000 7.665
Ba Dy V O
1 1 2 8
Direct
0.000 0.000 0.000
0.000 0.000 0.500
0.333 0.667 0.768
0.667 0.333 0.232
0.167 0.335 0.696
0.167 0.833 0.696
0.333 0.667 0.989
0.335 0.167 0.304
0.665 0.833 0.696
0.667 0.333 0.011
0.833 0.167 0.304
0.833 0.665 0.304
```

## Properties
The value obtained for the density of states at the Fermi level is 10.01 states/eV/cell. The total DFT energy (no corrections) comes out at -7.458 eV per atom.